Tb6PrHo5: relaxed, PBE-GGA.

Unit cell a=6.162 b=10.663 c=11.795 alpha=90.00 beta=99.97 gamma=90.00
Space group C2/m (No. 12)
Unique sites:
1 Tb 0.249 0.000 0.252
2 Tb 0.249 0.167 0.748
3 Pr 0.000 0.500 0.000
4 Ho 0.000 0.000 0.500
5 Ho 0.000 0.167 0.000
6 Ho 0.000 0.333 0.500

Output
- V (Å³/f.u.) = 381.6
- mass density (g/cm3) = 8.4
- total energy (eV/atom) = -4.60
- magnetization (Bohr magnetons per cell) = 0.0
- ΔH_f (0 K) (eV per atom) = 0.016